Record 1
A plane-wave DFT calculation with GGA-PBE was carried out for a geometry-optimized BiPb2F structure.

Output
DOS(E_F)   0.01 states/eV/atom
Crystal system   tetragonal
E   -15.81 eV/f.u.
ρ   7.91 g cm⁻³
Uncorrected formation energy   -2.64 eV/f.u.

a b c (Å): 6.0533 6.0533 14.7181
angles (deg): 90.00 90.00 90.00
Space group I-42d (No. 122)
Inequivalent atoms, fractional coordinates:
Bi  0.0000  0.0000  0.0000 x4
Pb  0.1547  0.2500  0.6250 x8
F  0.0000  0.0000  0.5000 x4



Record 2
A plane-wave DFT calculation with GGA-PBE was carried out for a geometry-optimized BiPb2F structure.

Output
DOS(E_F)   0.11 states/eV/atom
Crystal system   trigonal
E   -15.99 eV/f.u.
ρ   9.69 g cm⁻³
Uncorrected formation energy   -2.82 eV/f.u.

a b c (Å): 4.5648 4.5648 18.2922
angles (deg): 90.00 90.00 120.00
Space group R-3m (No. 166, hexagonal axes)
Inequivalent atoms, fractional coordinates:
Bi  0.0000  0.0000  0.0000 x3
Pb  0.0000  0.0000  0.2340 x6
F  0.0000  0.0000  0.5000 x3



Record 3
A plane-wave DFT calculation with GGA-PBE was carried out for a geometry-optimized BiPbF4 structure.

Output
Crystal system   tetragonal
E   -27.33 eV/f.u.
ρ   6.69 g cm⁻³
Uncorrected formation energy   -12.26 eV/f.u.

a b c (Å): 7.6144 7.6144 8.4335
angles (deg): 90.00 90.00 90.00
Space group I4_1md (No. 109)
Inequivalent atoms, fractional coordinates:
Bi  0.0000  0.0000  0.0000 x4
Pb  0.0000  0.0000  0.4883 x4
F  0.0000  0.3075  0.9850 x8
F  0.0000  0.3239  0.4949 x8



Record 4
A plane-wave DFT calculation with GGA-PBE was carried out for a geometry-optimized BiPbF3 structure.

Output
DOS(E_F)   0.83 states/eV/atom
Crystal system   cubic
E   -20.31 eV/f.u.
ρ   6.95 g cm⁻³
Uncorrected formation energy   -7.10 eV/f.u.

a b c (Å): 4.8344 4.8344 4.8344
angles (deg): 90.00 90.00 90.00
Space group Pm-3m (No. 221)
Inequivalent atoms, fractional coordinates:
Bi  0.0000  0.0000  0.0000 x1
Pb  0.5000  0.5000  0.5000 x1
F  0.0000  0.5000  0.5000 x3



Record 5
A plane-wave DFT calculation with GGA-PBE was carried out for a geometry-optimized BiPbF5 structure.

Output
DOS(E_F)   0.00 states/eV/atom
Crystal system   orthorhombic
E   -33.58 eV/f.u.
ρ   5.49 g cm⁻³
Uncorrected formation energy   -16.64 eV/f.u.

a b c (Å): 4.4944 7.4240 9.2672
angles (deg): 90.00 90.00 90.00
Space group Immm (No. 71)
Inequivalent atoms, fractional coordinates:
Bi  0.0000  0.0000  0.0000 x2
Pb  0.0000  0.0000  0.5000 x2
F  0.0000  0.0000  0.2436 x4
F  0.0000  0.3099  0.0000 x4
F  0.0000  0.5000  0.5000 x2



Record 6
A plane-wave DFT calculation with GGA-PBE was carried out for a geometry-optimized RbBiPbF6 structure.

Output
DOS(E_F)   0.00 states/eV/atom
Crystal system   orthorhombic
E   -41.88 eV/f.u.
ρ   4.43 g cm⁻³
Uncorrected formation energy   -22.10 eV/f.u.

a b c (Å): 8.3800 8.8139 12.4895
angles (deg): 90.00 90.00 90.00
Space group Imma (No. 74)
Inequivalent atoms, fractional coordinates:
Rb  0.0000  0.2500  0.0642 x4
Bi  0.0000  0.0000  0.5000 x4
Pb  0.2500  0.2500  0.7500 x4
F  0.0000  0.2500  0.4486 x4
F  0.0000  0.2500  0.8469 x4
F  0.1993  0.0441  0.6190 x16



Copy entry 3 word for word.
A plane-wave DFT calculation with GGA-PBE was carried out for a geometry-optimized BiPbF4 structure.

Output
Crystal system   tetragonal
E   -27.33 eV/f.u.
ρ   6.69 g cm⁻³
Uncorrected formation energy   -12.26 eV/f.u.

a b c (Å): 7.6144 7.6144 8.4335
angles (deg): 90.00 90.00 90.00
Space group I4_1md (No. 109)
Inequivalent atoms, fractional coordinates:
Bi  0.0000  0.0000  0.0000 x4
Pb  0.0000  0.0000  0.4883 x4
F  0.0000  0.3075  0.9850 x8
F  0.0000  0.3239  0.4949 x8